1.
# PBE-GGA TaSn2Te6, relaxed
data_TaSn2Te6
_chemical_formula_sum 'Ta1 Sn2 Te6'
_cell_length_a 7.7141
_cell_length_b 7.7141
_cell_length_c 9.8472
_cell_angle_alpha 100.27
_cell_angle_beta 100.27
_cell_angle_gamma 29.61
_space_group_name_H-M_alt 'P 1'
_space_group_IT_number 1
loop_
_space_group_symop_operation_xyz
'x,y,z'
loop_
_atom_site_label
_atom_site_type_symbol
_atom_site_fract_x
_atom_site_fract_y
_atom_site_fract_z
Ta1 Ta 0.0000 0.0000 0.0000
Sn1 Sn 0.3335 0.3335 0.6561
Sn2 Sn 0.6665 0.6665 0.3439
Te1 Te 0.0086 0.0086 0.2864
Te2 Te 0.3152 0.3152 0.3479
Te3 Te 0.3633 0.3633 0.9777
Te4 Te 0.6367 0.6367 0.0223
Te5 Te 0.6848 0.6848 0.6521
Te6 Te 0.9914 0.9914 0.7136
# Spin magnetization (μB/atom): 0.00
# Symmetry: C2/m

---

2.
# PBE-GGA ThTaSn, relaxed
data_ThTaSn
_chemical_formula_sum 'Th1 Ta1 Sn1'
_cell_length_a 4.9412
_cell_length_b 4.9412
_cell_length_c 4.9412
_cell_angle_alpha 60.00
_cell_angle_beta 60.00
_cell_angle_gamma 60.00
_space_group_name_H-M_alt 'P 1'
_space_group_IT_number 1
loop_
_space_group_symop_operation_xyz
'x,y,z'
loop_
_atom_site_label
_atom_site_type_symbol
_atom_site_fract_x
_atom_site_fract_y
_atom_site_fract_z
Th1 Th 0.0000 0.0000 0.0000
Ta1 Ta 0.5000 0.5000 0.5000
Sn1 Sn 0.7500 0.7500 0.7500
# Spin magnetization (μB/atom): 0.24
# Symmetry: F-43m

---

3.
# PBE-GGA TaTlSn, relaxed
data_TaTlSn
_chemical_formula_sum 'Ta1 Tl1 Sn1'
_cell_length_a 4.8127
_cell_length_b 4.8127
_cell_length_c 4.8127
_cell_angle_alpha 60.00
_cell_angle_beta 60.00
_cell_angle_gamma 60.00
_space_group_name_H-M_alt 'P 1'
_space_group_IT_number 1
loop_
_space_group_symop_operation_xyz
'x,y,z'
loop_
_atom_site_label
_atom_site_type_symbol
_atom_site_fract_x
_atom_site_fract_y
_atom_site_fract_z
Ta1 Ta 0.0000 0.0000 0.0000
Tl1 Tl 0.2500 0.2500 0.2500
Sn1 Sn 0.7500 0.7500 0.7500
# Relative energy among the computed polymorphs (eV per atom): 0.000
# Spin magnetization (μB/atom): 0.40
# Symmetry: F-43m

---

Number 1: calculated total energy -40.238 eV per cell. Number 2: calculated total energy -21.732 eV per cell. Number 3: calculated total energy -15.853 eV per cell.